Material: AlP2RhS
Method: DFT, PBE
State: relaxed

Lattice parameters (Å, degrees): 4.4658 4.4658 5.0838 90.00 90.00 90.00
With the nearest neighbours (Å) after each atom.
Positions (direct):
Al: 0.0000 0.0000 0.0000  4 S 3.16, 8 P 3.38
P: 0.0000 0.5000 0.5000  2 Rh 2.23
P: 0.5000 0.0000 0.5000  2 Rh 2.23
Rh: 0.5000 0.5000 0.5000  4 P 2.23
S: 0.5000 0.5000 0.0000  2 Rh 2.54

Summary:
SG = P4/mmm, No. 123
Total moment = 0.000 μB/atom
Energy relative to the elements, uncorrected = 0.529 eV per atom
V = 20.28 Å³/atom
N(E_F) = 4.77 states/eV/cell
Offset from the most stable computed form = 0 meV/atom